Below is Dy4TmSc5 after structural relaxation, with properties calculated at the GGA-PBE level.

Cell lengths 5.329, 11.329, 8.019 Å; angles 136.45, 109.40, 90.00 degrees
Sites, in units of the cell vectors:
Dy 0.384 0.137 0.768
Dy 0.123 0.375 0.247
Dy 0.616 0.863 0.232
Dy 0.877 0.625 0.753
Tm 0.500 0.000 0.000
Sc 0.848 0.295 0.696
Sc 0.840 0.892 0.680
Sc 0.160 0.108 0.320
Sc 0.500 0.500 0.000
Sc 0.152 0.705 0.304

As for the energy of formation: 0.25 eV/atom. For the density, the calculation gives 5.9 Mg/m³. For the energy above the most stable polymorph in this dataset, the calculation gives 0.0111 eV/atom. Its crystal system is monoclinic.

---

Below is PmDyHoSc after structural relaxation, with properties calculated at the GGA-PBE level.

Cell lengths 3.766, 5.627, 6.678 Å; angles 114.92, 73.59, 90.00 degrees
Sites, in units of the cell vectors:
Pm 0.416 0.140 0.281
Dy 0.655 0.411 0.821
Ho 0.194 0.872 0.744
Sc 0.921 0.642 0.283

As for the energy of formation: 0.10 eV/atom. For the density, the calculation gives 7.0 Mg/m³. For the energy above the most stable polymorph in this dataset, the calculation gives 0.0000 eV/atom. Its crystal system is monoclinic.

---

Question: energy of formation of number 1 (Dy4TmSc5)?
Answer: 0.25 eV/atom